[1]
First-principles (PBE-GGA) data for a geometry-optimized SrHgPd4 structure, as listed in Alexandria.

abc: 7.902 4.294 7.251
angles: 90.00 90.00 90.00
Space group Pmma (No. 51)
Inequivalent atoms, fractional coordinates:
Sr 0.250 0.000 0.169 x2
Hg 0.250 0.000 0.751 x2
Pd 0.000 0.000 0.500 x2
Pd 0.034 0.500 0.784 x4
Pd 0.250 0.500 0.471 x2

Properties
Formation energy, kJ/mol of atoms: -23.34
Volume, A^3/atom: 20.50
Total DFT energy (no corrections), eV/atom: -4.034

***

[2]
First-principles (PBE-GGA) data for a geometry-optimized SrHg2Pd3 structure, as listed in Alexandria.

abc: 4.7373 4.7373 12.9413
angles: 90.00 90.00 120.00
Space group P6_3/mmc (No. 194)
Inequivalent atoms, fractional coordinates:
Sr 0.0000 0.0000 0.2500 x2
Hg 0.3333 0.6667 0.0864 x4
Pd 0.0000 0.0000 0.0000 x2
Pd 0.3333 0.6667 0.6302 x4

Properties
Formation energy, kJ/mol of atoms: -36.54
Volume, A^3/atom: 20.96
Distance to the lowest polymorph of the same formula, meV per atom: 86
Total DFT energy (no corrections), eV/atom: -3.356

***

[3]
First-principles (PBE-GGA) data for a geometry-optimized SrHg2Pd structure, as listed in Alexandria.

abc: 16.621 8.150 5.863
angles: 90.00 90.00 90.00
Space group Pnma (No. 62)
Inequivalent atoms, fractional coordinates:
Sr 0.105 0.250 0.234 x4
Sr 0.141 0.750 0.465 x4
Hg 0.036 0.055 0.739 x8
Hg 0.214 0.551 0.956 x8
Pd 0.071 0.750 0.976 x4
Pd 0.183 0.250 0.725 x4

Properties
Formation energy, kJ/mol of atoms: -48.57
Volume, A^3/atom: 24.82
Total DFT energy (no corrections), eV/atom: -2.373

***

[4]
First-principles (PBE-GGA) data for a geometry-optimized Sr5Hg2Pd2 structure, as listed in Alexandria.

abc: 16.861 8.324 8.396
angles: 90.00 90.00 90.00
Space group Cmce (No. 64)
Inequivalent atoms, fractional coordinates:
Sr 0.000 0.000 0.000 x4
Sr 0.127 0.169 0.332 x16
Hg 0.208 0.000 0.000 x8
Pd 0.000 0.122 0.623 x8

Properties
Formation energy, kJ/mol of atoms: -49.81
Volume, A^3/atom: 32.73
Total DFT energy (no corrections), eV/atom: -2.672

***

[5]
First-principles (PBE-GGA) data for a geometry-optimized SrHg4Pd6 structure, as listed in Alexandria.

abc: 6.774 6.774 10.506
angles: 90.00 90.00 90.00
Space group I-42m (No. 121)
Inequivalent atoms, fractional coordinates:
Sr 0.000 0.000 0.000 x2
Hg 0.217 0.217 0.311 x8
Pd 0.000 0.500 0.000 x4
Pd 0.157 0.157 0.584 x8

Properties
Formation energy, kJ/mol of atoms: -14.55
Volume, A^3/atom: 21.91
Total DFT energy (no corrections), eV/atom: -3.246

***

[6]
First-principles (PBE-GGA) data for a geometry-optimized Sr3HgPd3 structure, as listed in Alexandria.

abc: 11.845 4.465 15.300
angles: 90.00 110.16 90.00
Space group C2/m (No. 12)
Inequivalent atoms, fractional coordinates:
Sr 0.023 0.000 0.382 x4
Sr 0.106 0.000 0.925 x4
Sr 0.236 0.000 0.226 x4
Hg 0.235 0.500 0.397 x4
Pd 0.027 0.500 0.229 x4
Pd 0.106 0.500 0.077 x4
Pd 0.120 0.500 0.544 x4

Properties
Formation energy, kJ/mol of atoms: -56.76
Volume, A^3/atom: 27.13
Total DFT energy (no corrections), eV/atom: -3.578

***

| no. | total moment (Bohr magnetons per cell) |
| --- | --- |
| 1 | 0.0 |
| 2 | 0.0 |
| 3 | 0.0 |
| 4 | 0.0 |
| 5 | 0.0 |
| 6 | 0.0 |